1.
This record from the Alexandria database describes an optimized crystal structure of PuMgCuSn. The functional is PBE-GGA.

## Properties
energy relative to the elements = -0.12 eV per atom
crystal system = cubic

Unit cell a=4.993 b=4.993 c=4.993 alpha=60.00 beta=60.00 gamma=60.00
Atoms (fractional coordinates):
Mg 0.500 0.500 0.500
Sn 0.250 0.250 0.250
Cu 0.750 0.750 0.750
Pu 0.000 0.000 0.000


2.
This record from the Alexandria database describes an optimized crystal structure of HfZr2TcH. The functional is PBE-GGA.

## Properties
E_tot = -8.2641 eV per atom
crystal system = tetragonal

Unit cell a=4.827 b=4.827 c=3.550 alpha=90.00 beta=90.00 gamma=90.00
Atoms (fractional coordinates):
H 0.000 0.000 0.000
Hf 0.500 0.500 0.500
Tc 0.000 0.000 0.500
Zr 0.000 0.500 0.000
Zr 0.500 0.000 0.000


| no. | magnetic moment (μB/cell) | D(E_F) (states/eV/cell) |
| --- | --- | --- |
| 1 | 5.41 | 9.956 |
| 2 | 0.00 | 6.942 |